VASP calculation (PBE) on an optimized crystal structure of LiCrSb2.

Calculated values
Symmetry: P4/mmm
V: 19.9 A^3/atom
DOS(E_F): 2.56 states/eV/cell
Energy relative to the elements, uncorrected: 9 meV per atom

Cell lengths 3.215, 3.215, 7.684 Å; angles 90.00, 90.00, 90.00 degrees
Site moments in Bohr magnetons follow the coordinates.
Sites, in units of the cell vectors:
Cr  0.500  0.500  0.250  1.04
Li  0.500  0.500  0.750  -0.01
Sb  0.000  0.000  0.037  -0.04
Sb  0.000  0.000  0.463  -0.04